[1]
Material: AlCdCl
Method: DFT, GGA-PBE
State: optimized geometry

a = 3.237 Å, b = 3.237 Å, c = 14.993 Å
α = 90.00°, β = 90.00°, γ = 90.00°
Space group I4mm (No. 107)
One atom of each set of equivalent atoms:
Al (0.000, 0.000, 0.000)
Cd (0.000, 0.000, 0.346)
Cl (0.000, 0.000, 0.601)

Energy relative to the elements, uncorrected: -155.5 meV per atom
Size of the total moment: 0.0 μB/f.u.
D(E_F): 0.057 states/eV per atom
VASP energy: -2.324 eV/atom

***

[2]
Material: Al2CdCl
Method: DFT, GGA-PBE
State: optimized geometry

a = 5.972 Å, b = 5.972 Å, c = 13.214 Å
α = 90.00°, β = 90.00°, γ = 90.00°
Space group I-42d (No. 122)
One atom of each set of equivalent atoms:
Al (0.250, 0.250, 0.125)
Cd (0.000, 0.000, 0.000)
Cl (0.000, 0.000, 0.500)

Energy relative to the elements, uncorrected: 208.6 meV per atom
Size of the total moment: 0.0 μB/f.u.
D(E_F): 0.459 states/eV per atom
VASP energy: -2.353 eV/atom

***

[3]
Material: Al2CdCl
Method: DFT, GGA-PBE
State: optimized geometry

a = 3.049 Å, b = 4.920 Å, c = 5.628 Å
α = 90.00°, β = 90.00°, γ = 90.00°
Space group Pmmm (No. 47)
One atom of each set of equivalent atoms:
Al (0.000, 0.000, 0.246)
Cd (0.500, 0.500, 0.500)
Cl (0.500, 0.500, 0.000)

Energy relative to the elements, uncorrected: 56.5 meV per atom
Size of the total moment: 0.0 μB/f.u.
D(E_F): 0.292 states/eV per atom
VASP energy: -2.505 eV/atom

***

[4]
Material: Cs2AlCdCl6
Method: DFT, GGA-PBE
State: optimized geometry

a = 7.477 Å, b = 7.477 Å, c = 10.598 Å
α = 90.00°, β = 90.00°, γ = 90.00°
Space group I4/mmm (No. 139)
One atom of each set of equivalent atoms:
Cs (0.000, 0.500, 0.250)
Al (0.000, 0.000, 0.000)
Cd (0.000, 0.000, 0.500)
Cl (0.000, 0.000, 0.225)
Cl (0.225, 0.225, 0.000)

Energy relative to the elements, uncorrected: -1518.9 meV per atom
Size of the total moment: 0.0 μB/f.u.
D(E_F): 0.275 states/eV per atom
VASP energy: -3.263 eV/atom